! Er6BiSb3Te2 | Alexandria | PBE | optimized geometry; values from VASP
! E_tot in eV per atom: -5.2878
&SYSTEM
  ibrav = 0, nat = 12, ntyp = 4
/
ATOMIC_SPECIES
Er 167.26 Er.upf
Bi 208.98 Bi.upf
Sb 121.76 Sb.upf
Te 127.60 Te.upf
CELL_PARAMETERS angstrom
9.507 -2.181 0.000
9.507 2.181 0.000
-2.016 0.000 8.483
ATOMIC_POSITIONS angstrom
Er -0.451 0.000 2.092
Er 5.462 0.000 3.595
Er 4.562 0.000 7.723
Er 12.437 0.000 0.760
Er 11.537 0.000 4.888
Er 17.450 0.000 6.391
Bi 8.499 0.000 4.241
Sb 2.516 0.000 2.824
Sb 9.507 0.000 0.000
Sb 14.483 0.000 5.659
Te 1.502 0.000 7.082
Te 15.497 0.000 1.400

! Er6BiSb2Te3 | Alexandria | PBE | optimized geometry; values from VASP
! E_tot in eV per atom: -5.2218
&SYSTEM
  ibrav = 0, nat = 12, ntyp = 4
/
ATOMIC_SPECIES
Er 167.26 Er.upf
Bi 208.98 Bi.upf
Sb 121.76 Sb.upf
Te 127.60 Te.upf
CELL_PARAMETERS angstrom
9.501 -2.177 0.000
9.501 2.177 0.000
-1.987 0.000 8.474
ATOMIC_POSITIONS angstrom
Er -0.428 0.000 2.133
Er 5.433 0.000 3.585
Er 4.511 0.000 7.684
Er 12.504 0.000 0.790
Er 11.582 0.000 4.889
Er 17.444 0.000 6.341
Bi 9.501 0.000 0.000
Sb 2.508 0.000 2.827
Sb 14.507 0.000 5.647
Te 1.481 0.000 7.060
Te 8.508 0.000 4.237
Te 15.535 0.000 1.414

! Er4BiSb2Te | Alexandria | PBE | optimized geometry; values from VASP
! E_tot in eV per atom: -5.2847
&SYSTEM
  ibrav = 0, nat = 8, ntyp = 4
/
ATOMIC_SPECIES
Er 167.26 Er.upf
Bi 208.98 Bi.upf
Sb 121.76 Sb.upf
Te 127.60 Te.upf
CELL_PARAMETERS angstrom
7.559 0.000 0.000
0.000 4.369 0.000
-2.513 0.000 7.140
ATOMIC_POSITIONS angstrom
Er 1.247 0.000 1.717
Er -0.006 2.184 5.411
Er 5.052 2.184 1.729
Er 3.799 0.000 5.424
Bi -1.257 0.000 3.570
Sb 0.000 2.184 0.000
Sb 3.779 0.000 0.000
Te 2.523 2.184 3.570

! ErThBiSb | Alexandria | PBE | optimized geometry; values from VASP
! E_tot in eV per atom: -5.8396
&SYSTEM
  ibrav = 0, nat = 4, ntyp = 4
/
ATOMIC_SPECIES
Er 167.26 Er.upf
Th 232.04 Th.upf
Bi 208.98 Bi.upf
Sb 121.76 Sb.upf
CELL_PARAMETERS angstrom
2.241 1.294 7.281
-2.241 1.294 7.281
0.000 -2.587 7.281
ATOMIC_POSITIONS angstrom
Er 0.000 0.000 0.000
Th 0.000 0.000 10.797
Bi 0.000 0.000 5.480
Sb 0.000 0.000 16.228

! ErTmBiSb | Alexandria | PBE | optimized geometry; values from VASP
! E_tot in eV per atom: -5.1940
&SYSTEM
  ibrav = 0, nat = 4, ntyp = 4
/
ATOMIC_SPECIES
Er 167.26 Er.upf
Tm 168.93 Tm.upf
Bi 208.98 Bi.upf
Sb 121.76 Sb.upf
CELL_PARAMETERS angstrom
4.391 0.000 0.000
0.000 4.391 0.000
0.000 0.000 6.208
ATOMIC_POSITIONS angstrom
Er 0.000 0.000 0.000
Tm 2.195 2.195 3.104
Bi 2.195 2.195 0.000
Sb 0.000 0.000 3.104

! YErBiSb | Alexandria | PBE | optimized geometry; values from VASP
! E_tot in eV per atom: -5.7452
&SYSTEM
  ibrav = 0, nat = 4, ntyp = 4
/
ATOMIC_SPECIES
Y 88.91 Y.upf
Er 167.26 Er.upf
Bi 208.98 Bi.upf
Sb 121.76 Sb.upf
CELL_PARAMETERS angstrom
4.418 0.000 0.000
0.000 4.418 0.000
0.000 0.000 6.246
ATOMIC_POSITIONS angstrom
Y 0.000 0.000 0.000
Er 2.209 2.209 3.123
Bi 2.209 2.209 0.000
Sb 0.000 0.000 3.123

! Er12ScBi6 | Alexandria | PBE | optimized geometry; values from VASP
! Calculated formation energy in eV per atom: -0.397
&SYSTEM
  ibrav = 0, nat = 19, ntyp = 3
/
ATOMIC_SPECIES
Er 167.26 Er.upf
Sc 44.96 Sc.upf
Bi 208.98 Bi.upf
CELL_PARAMETERS angstrom
7.497 4.329 2.842
-7.497 4.329 2.842
0.000 -8.657 2.842
ATOMIC_POSITIONS angstrom
Er -1.054 -1.655 1.483
Er -0.907 1.740 1.483
Er -3.399 -1.176 4.245
Er 1.960 -0.085 1.483
Er -0.681 -3.532 4.280
Er -2.718 2.356 4.280
Er 2.718 -2.356 4.245
Er 0.681 3.532 4.245
Er -1.960 0.085 7.042
Er 3.399 1.176 4.280
Er 0.907 -1.740 7.042
Er 1.054 1.655 7.042
Sc 0.000 0.000 4.263
Bi -3.765 -4.633 4.343
Bi -5.895 0.944 4.183
Bi 2.130 -5.577 4.183
Bi -2.130 5.577 4.343
Bi 5.895 -0.944 4.343
Bi 3.765 4.633 4.183

! Er2ScBi3 | Alexandria | PBE | optimized geometry; values from VASP
! Calculated formation energy in eV per atom: -0.754
! Energy relative to the lowest polymorph listed for this composition in meV/atom: 0.0
&SYSTEM
  ibrav = 0, nat = 6, ntyp = 3
/
ATOMIC_SPECIES
Er 167.26 Er.upf
Sc 44.96 Sc.upf
Bi 208.98 Bi.upf
CELL_PARAMETERS angstrom
-2.193 3.110 6.582
2.193 -3.110 6.582
2.193 3.110 -6.582
ATOMIC_POSITIONS angstrom
Er 0.000 0.000 2.223
Er 0.000 0.000 10.942
Sc 0.000 0.000 6.582
Bi 2.193 0.000 0.000
Bi 2.193 0.000 4.479
Bi 0.000 3.110 2.103

! Er2Sc3Bi2 | Alexandria | PBE | optimized geometry; values from VASP
! Calculated formation energy in eV per atom: -0.431
&SYSTEM
  ibrav = 0, nat = 7, ntyp = 3
/
ATOMIC_SPECIES
Er 167.26 Er.upf
Sc 44.96 Sc.upf
Bi 208.98 Bi.upf
CELL_PARAMETERS angstrom
5.829 -2.122 0.000
5.829 2.122 0.000
-2.775 0.000 7.677
ATOMIC_POSITIONS angstrom
Er 0.607 0.000 1.945
Er 8.275 0.000 5.732
Sc 4.190 0.000 0.459
Sc 4.441 0.000 3.839
Sc 4.693 0.000 7.218
Bi 0.094 0.000 5.316
Bi 8.789 0.000 2.361

! ErSc2Bi | Alexandria | PBE | optimized geometry; values from VASP
! Calculated formation energy in eV per atom: -0.293
! Energy relative to the lowest polymorph listed for this composition in meV/atom: 147.3
&SYSTEM
  ibrav = 0, nat = 4, ntyp = 3
/
ATOMIC_SPECIES
Er 167.26 Er.upf
Sc 44.96 Sc.upf
Bi 208.98 Bi.upf
CELL_PARAMETERS angstrom
4.680 0.000 0.000
0.000 4.680 0.000
0.000 0.000 4.660
ATOMIC_POSITIONS angstrom
Er 0.000 0.000 0.000
Sc 0.000 2.340 2.330
Sc 2.340 0.000 2.330
Bi 2.340 2.340 0.000

! ErSc2Bi | Alexandria | PBE | optimized geometry; values from VASP
! Calculated formation energy in eV per atom: -0.440
! Energy relative to the lowest polymorph listed for this composition in meV/atom: 0.0
&SYSTEM
  ibrav = 0, nat = 8, ntyp = 3
/
ATOMIC_SPECIES
Er 167.26 Er.upf
Sc 44.96 Sc.upf
Bi 208.98 Bi.upf
CELL_PARAMETERS angstrom
4.432 0.000 0.000
0.000 4.426 0.000
-2.213 0.000 10.775
ATOMIC_POSITIONS angstrom
Er 0.000 1.107 4.111
Er 2.219 3.320 6.664
Sc 0.000 3.320 1.180
Sc 0.003 3.320 9.556
Sc 2.216 1.107 1.219
Sc 2.218 1.107 9.594
Bi 0.003 1.107 7.288
Bi 2.216 3.320 3.487

! ErScBi2 | Alexandria | PBE | optimized geometry; values from VASP
! Calculated formation energy in eV per atom: -0.721
! Energy relative to the lowest polymorph listed for this composition in meV/atom: 12.0
&SYSTEM
  ibrav = 0, nat = 4, ntyp = 3
/
ATOMIC_SPECIES
Er 167.26 Er.upf
Sc 44.96 Sc.upf
Bi 208.98 Bi.upf
CELL_PARAMETERS angstrom
4.359 0.000 0.000
-2.180 3.775 0.000
0.000 0.000 7.284
ATOMIC_POSITIONS angstrom
Er 0.000 0.000 0.000
Sc 0.000 0.000 3.642
Bi 0.000 2.517 5.372
Bi 2.180 1.258 1.912

no.,size of the total moment (μB per cell)
1,0.00
2,0.00
3,0.00
4,0.00
5,0.00
6,0.00
7,0.00
8,0.00
9,0.01
10,1.84
11,0.06
12,0.00